No. 1
The following is a DFT calculation (meta-GGA SCAN) of a PBEsol-optimized structure of KRbCuH12Se2O14.

```
KRbCuH12Se2O14
1.0
-3.4500 1.7177 -5.0848
-3.2574 -8.2425 2.0053
-8.3596 5.1029 7.3957
O Rb H Se Cu K
28 2 24 4 2 2
Direct
0.1943 0.4272 0.6279 O
0.9739 0.4144 0.3932 O
0.2350 0.1717 0.0727 O
0.8057 0.5728 0.1279 O
0.7650 0.8283 0.5727 O
0.7238 0.7621 0.9396 O
0.6195 0.0257 0.9338 O
0.4161 0.8113 0.2538 O
0.7245 0.2623 0.5582 O
0.0180 0.8402 0.3182 O
0.0261 0.5856 0.8932 O
0.2762 0.2379 0.4396 O
0.9717 0.9103 0.1092 O
0.1844 0.9350 0.8768 O
0.3757 0.4728 0.0563 O
0.6243 0.5272 0.5563 O
0.5813 0.6646 0.7479 O
0.2755 0.7377 0.0582 O
0.7586 0.3288 0.9388 O
0.0283 0.0897 0.6092 O
0.5839 0.1887 0.7538 O
0.9802 0.6440 0.6832 O
0.0198 0.3560 0.1832 O
0.2414 0.6712 0.4388 O
0.9820 0.1598 0.8182 O
0.4187 0.3354 0.2479 O
0.8156 0.0650 0.3768 O
0.3805 0.9743 0.4338 O
0.6497 0.1026 0.1606 Rb
0.3503 0.8974 0.6606 Rb
0.3061 0.6340 0.0515 H
0.8860 0.9787 0.3689 H
0.3360 0.4684 0.5933 H
0.3095 0.7673 0.1368 H
0.6698 0.0248 0.4073 H
0.3302 0.9752 0.9073 H
0.6942 0.8663 0.9420 H
0.8797 0.4881 0.1349 H
0.9997 0.6139 0.8157 H
0.9220 0.9900 0.5969 H
0.6640 0.5316 0.0933 H
0.1140 0.0213 0.8689 H
0.6939 0.3660 0.5515 H
0.0819 0.5125 0.4094 H
0.0003 0.3861 0.3157 H
0.3058 0.1337 0.4420 H
0.9181 0.4875 0.9094 H
0.1203 0.5119 0.6349 H
0.3124 0.2751 0.3627 H
0.6905 0.2327 0.6368 H
0.0048 0.1228 0.6857 H
0.9952 0.8772 0.1857 H
0.6876 0.7249 0.8627 H
0.0780 0.0100 0.0969 H
0.7409 0.6668 0.6399 Se
0.7394 0.1767 0.8612 Se
0.2606 0.8233 0.3612 Se
0.2591 0.3332 0.1399 Se
0.9993 0.7500 0.9996 Cu
0.0007 0.2500 0.4996 Cu
0.6560 0.6018 0.3388 K
0.3440 0.3982 0.8388 K
```

Summary:
Magnetic moment, μB per formula unit: 1.00
DFT total energy, eV/atom: -8.00
Fermi-level density of states, states/eV/atom: 0.0000
Space-group type: P2_1 (4)


No. 2
The following is a DFT calculation (meta-GGA SCAN) of a PBEsol-optimized structure of K2CuH12S2O14.

```
K2CuH12S2O14
1.0
-5.5243 2.4542 -0.8216
-1.6424 -8.8309 0.6257
-1.2815 1.0768 11.8338
K H O S Cu
4 24 28 4 2
Direct
0.3385 0.1201 0.6552 K
0.3385 0.6201 0.8448 K
0.6615 0.3799 0.1552 K
0.6615 0.8799 0.3448 K
0.0781 0.2373 0.8774 H
0.6686 0.1027 0.9416 H
0.6686 0.6027 0.5584 H
0.9219 0.7627 0.1226 H
0.3171 0.7003 0.5860 H
0.9938 0.3281 0.6990 H
0.0851 0.2976 0.1048 H
0.3198 0.5363 0.3569 H
0.9219 0.2627 0.3774 H
0.6802 0.9637 0.8569 H
0.0062 0.6719 0.3010 H
0.3314 0.3973 0.4416 H
0.3198 0.0363 0.1431 H
0.9938 0.8281 0.8010 H
0.3314 0.8973 0.0584 H
0.6829 0.7997 0.0860 H
0.0851 0.7976 0.3952 H
0.0062 0.1719 0.1990 H
0.6829 0.2997 0.4140 H
0.3171 0.2003 0.9140 H
0.6802 0.4637 0.6431 H
0.9149 0.2024 0.6048 H
0.0781 0.7373 0.6226 H
0.9149 0.7024 0.8952 H
0.4190 0.6068 0.2385 O
0.1591 0.1535 0.8873 O
0.0333 0.7967 0.8767 O
0.5958 0.7634 0.5624 O
0.4042 0.2366 0.4376 O
0.7100 0.0009 0.9363 O
0.9667 0.2033 0.1233 O
0.2900 0.9991 0.0637 O
0.5810 0.8932 0.7385 O
0.7100 0.5009 0.5637 O
0.2900 0.4991 0.4363 O
0.5958 0.2634 0.9376 O
0.4042 0.7366 0.0624 O
0.9452 0.8735 0.6635 O
0.0548 0.6265 0.1635 O
0.7330 0.5374 0.9280 O
0.4190 0.1068 0.2615 O
0.0548 0.1265 0.3365 O
0.0333 0.2967 0.6233 O
0.2670 0.9626 0.4280 O
0.5810 0.3932 0.7615 O
0.1591 0.6535 0.6127 O
0.9452 0.3735 0.8365 O
0.8409 0.3465 0.3873 O
0.9667 0.7033 0.3767 O
0.8409 0.8465 0.1127 O
0.7330 0.0374 0.5720 O
0.2670 0.4626 0.0720 O
0.2841 0.1064 0.3654 S
0.2841 0.6064 0.1346 S
0.7159 0.8936 0.6346 S
0.7159 0.3936 0.8654 S
0.0000 0.0000 0.0000 Cu
0.0000 0.5000 0.5000 Cu
```

Summary:
Magnetic moment, μB per formula unit: 1.00
DFT total energy, eV/atom: -7.17
Fermi-level density of states, states/eV/atom: 0.0000
Space-group type: P2_1/c (14)


No. 3
The following is a DFT calculation (meta-GGA SCAN) of a PBEsol-optimized structure of K2CuH12Se2O14.

```
K2CuH12Se2O14
1.0
-3.6115 -4.8144 -1.9570
8.1323 -3.8477 0.6714
-2.3505 -2.9463 11.5862
H O Se K Cu
24 28 4 4 2
Direct
0.6665 0.2754 0.4095 H
0.9168 0.7415 0.9030 H
0.1175 0.2704 0.8677 H
0.3335 0.7246 0.5905 H
0.0055 0.8726 0.8128 H
0.0055 0.3726 0.6872 H
0.8825 0.7296 0.1323 H
0.0832 0.7585 0.4030 H
0.6841 0.9790 0.8637 H
0.9945 0.1274 0.1872 H
0.6937 0.6201 0.5543 H
0.9168 0.2415 0.5970 H
0.3063 0.8799 0.0543 H
0.8825 0.2296 0.3677 H
0.9945 0.6274 0.3128 H
0.1175 0.7704 0.6323 H
0.3159 0.5210 0.3637 H
0.6841 0.4790 0.6363 H
0.0832 0.2585 0.0970 H
0.6665 0.7754 0.0905 H
0.6937 0.1201 0.9457 H
0.3159 0.0210 0.1363 H
0.3063 0.3799 0.4457 H
0.3335 0.2246 0.9095 H
0.0295 0.3384 0.6102 O
0.6267 0.7836 0.5561 O
0.9836 0.9113 0.6798 O
0.6267 0.2836 0.9439 O
0.7458 0.0882 0.5721 O
0.0164 0.5887 0.1798 O
0.7229 0.5147 0.5588 O
0.2542 0.9118 0.4279 O
0.8084 0.8159 0.1257 O
0.7458 0.5882 0.9279 O
0.8084 0.3159 0.3743 O
0.2771 0.9853 0.0588 O
0.4232 0.5788 0.2485 O
0.9705 0.1616 0.1102 O
0.5768 0.9212 0.7485 O
0.9705 0.6616 0.3898 O
0.1916 0.6841 0.6257 O
0.9836 0.4113 0.8202 O
0.3733 0.7164 0.0561 O
0.2542 0.4118 0.0721 O
0.5768 0.4212 0.7515 O
0.3733 0.2164 0.4439 O
0.0164 0.0887 0.3202 O
0.4232 0.0788 0.2515 O
0.7229 0.0147 0.9412 O
0.2771 0.4853 0.4412 O
0.1916 0.1841 0.8743 O
0.0295 0.8384 0.8898 O
0.7364 0.9266 0.6389 Se
0.2636 0.0734 0.3611 Se
0.7364 0.4266 0.8611 Se
0.2636 0.5734 0.1389 Se
0.6557 0.8491 0.3361 K
0.6557 0.3491 0.1639 K
0.3443 0.1509 0.6639 K
0.3443 0.6509 0.8361 K
0.0000 0.0000 0.0000 Cu
0.0000 0.5000 0.5000 Cu
```

Summary:
Magnetic moment, μB per formula unit: 1.00
DFT total energy, eV/atom: -7.60
Fermi-level density of states, states/eV/atom: 0.0000
Space-group type: P2_1/c (14)


No. 4
The following is a DFT calculation (meta-GGA SCAN) of a PBEsol-optimized structure of KCu2HS.

```
KCu2HS
1.0
4.1776 0.0000 0.0000
0.0000 4.1776 0.0000
0.0000 0.0000 6.4448
Cu H K S
2 1 1 1
Direct
0.5000 0.0000 0.0000 Cu
0.0000 0.5000 0.0000 Cu
0.5000 0.5000 0.5000 H
0.0000 0.0000 0.5000 K
0.0000 0.0000 0.0000 S
```

Summary:
Magnetic moment, μB per formula unit: 0.00
DFT total energy, eV/atom: -10.36
Fermi-level density of states, states/eV/atom: 0.0348
Space-group type: P4/mmm (123)


No. 5
The following is a DFT calculation (meta-GGA SCAN) of a PBEsol-optimized structure of La2CuH2.

```
La2CuH2
1.0
-1.0343 -1.9315 -3.0008
3.5141 -1.0955 -0.5061
-2.3294 -3.7072 5.4893
H La Cu
2 2 1
Direct
0.7500 0.2500 0.5000 H
0.2500 0.7500 0.5000 H
0.3619 0.3619 0.7237 La
0.6381 0.6381 0.2763 La
0.0000 0.0000 0.0000 Cu
```

Summary:
Magnetic moment, μB per formula unit: 0.00
DFT total energy, eV/atom: -22.11
Fermi-level density of states, states/eV/atom: 0.6472
Space-group type: I4/mmm (139)


No. 6
The following is a DFT calculation (meta-GGA SCAN) of a PBEsol-optimized structure of La2CuH.

```
La2CuH
1.0
-2.4747 -3.3922 -2.5067
1.5657 -1.4048 -4.4147
1.9053 -4.4619 -0.6130
La H Cu
2 1 1
Direct
0.7500 0.7500 0.7500 La
0.2500 0.2500 0.2500 La
0.0000 0.0000 0.0000 H
0.5000 0.5000 0.5000 Cu
```

Summary:
Magnetic moment, μB per formula unit: 1.19
DFT total energy, eV/atom: -26.25
Fermi-level density of states, states/eV/atom: 0.9951
Space-group type: Fm-3m (225)


No. 7
The following is a DFT calculation (meta-GGA SCAN) of a PBEsol-optimized structure of LaNb2CuH.

```
LaNb2CuH
1.0
-2.4141 -2.4882 -0.6609
1.1446 -2.2645 4.3450
-3.4873 2.7577 2.3559
La H Cu Nb
1 1 1 2
Direct
0.0000 0.0000 0.0000 La
0.5000 0.0000 0.0000 H
0.5000 0.5000 0.5000 Cu
0.0000 0.0000 0.5000 Nb
0.0000 0.5000 0.0000 Nb
```

Summary:
Magnetic moment, μB per formula unit: 0.00
DFT total energy, eV/atom: -23.90
Fermi-level density of states, states/eV/atom: 1.2139
Space-group type: P4/mmm (123)


No. 8
The following is a DFT calculation (meta-GGA SCAN) of a PBEsol-optimized structure of LiMnCu2H.

```
LiMnCu2H
1.0
3.0737 0.0000 0.0000
0.0000 4.6567 0.0000
0.0000 0.0000 4.6567
H Li Mn Cu
1 1 1 2
Direct
0.5000 0.0000 0.0000 H
0.5000 0.5000 0.5000 Li
0.0000 0.0000 0.0000 Mn
0.0000 0.0000 0.5000 Cu
0.0000 0.5000 0.0000 Cu
```

Summary:
Magnetic moment, μB per formula unit: 3.71
DFT total energy, eV/atom: -10.44
Fermi-level density of states, states/eV/atom: 0.2865
Space-group type: P4/mmm (123)


No. 9
The following is a DFT calculation (meta-GGA SCAN) of a PBEsol-optimized structure of Li5CuHO4.

```
Li5CuHO4
1.0
-5.4895 -4.2437 -5.0795
3.3777 -7.6700 2.7576
-7.0132 -0.2795 7.8128
O Li H Cu
32 40 8 8
Direct
0.9326 0.2596 0.6078 O
0.0674 0.2404 0.1078 O
0.2500 0.4221 0.3946 O
0.5674 0.2596 0.6078 O
0.4116 0.5794 0.6175 O
0.9112 0.4249 0.8807 O
0.9116 0.9206 0.1175 O
0.5884 0.4206 0.3825 O
0.7500 0.5563 0.1135 O
0.0888 0.5751 0.1193 O
0.5888 0.9249 0.6193 O
0.0674 0.7404 0.3922 O
0.0884 0.0794 0.8825 O
0.4112 0.5751 0.1193 O
0.4112 0.0751 0.3807 O
0.4326 0.7404 0.3922 O
0.7500 0.5779 0.6054 O
0.0884 0.5794 0.6175 O
0.5888 0.4249 0.8807 O
0.9326 0.7596 0.8922 O
0.2500 0.4437 0.8865 O
0.4326 0.2404 0.1078 O
0.5884 0.9206 0.1175 O
0.7500 0.0563 0.3865 O
0.2500 0.9437 0.6135 O
0.2500 0.9221 0.1054 O
0.5674 0.7596 0.8922 O
0.9112 0.9249 0.6193 O
0.4116 0.0794 0.8825 O
0.9116 0.4206 0.3825 O
0.0888 0.0751 0.3807 O
0.7500 0.0779 0.8946 O
0.5724 0.1073 0.0169 Li
0.7500 0.3801 0.5206 Li
0.5868 0.2047 0.3756 Li
0.4132 0.7953 0.6244 Li
0.0666 0.0773 0.5713 Li
0.9173 0.9826 0.7967 Li
0.2500 0.1199 0.0206 Li
0.9173 0.4826 0.7033 Li
0.9334 0.4227 0.0713 Li
0.2500 0.4221 0.0742 Li
0.9132 0.7047 0.1244 Li
0.7500 0.5779 0.9258 Li
0.5868 0.7047 0.1244 Li
0.0666 0.5773 0.9287 Li
0.5724 0.6073 0.4831 Li
0.0724 0.8927 0.9831 Li
0.4276 0.3927 0.5169 Li
0.7500 0.8801 0.9794 Li
0.5827 0.4826 0.7033 Li
0.0868 0.2953 0.8756 Li
0.9276 0.6073 0.4831 Li
0.0868 0.7953 0.6244 Li
0.4276 0.8927 0.9831 Li
0.7500 0.0779 0.5742 Li
0.0827 0.0174 0.2033 Li
0.9334 0.9227 0.4287 Li
0.0827 0.5174 0.2967 Li
0.4334 0.5773 0.9287 Li
0.2500 0.9221 0.4258 Li
0.0724 0.3927 0.5169 Li
0.4173 0.5174 0.2967 Li
0.9276 0.1073 0.0169 Li
0.4334 0.0773 0.5713 Li
0.4132 0.2953 0.8756 Li
0.2500 0.6199 0.4794 Li
0.5666 0.4227 0.0713 Li
0.5827 0.9826 0.7967 Li
0.5666 0.9227 0.4287 Li
0.4173 0.0174 0.2033 Li
0.9132 0.2047 0.3756 Li
0.0792 0.7678 0.3021 H
0.5792 0.7322 0.8021 H
0.4208 0.2678 0.1979 H
0.9208 0.2322 0.6979 H
0.0792 0.2678 0.1979 H
0.5792 0.2322 0.6979 H
0.9208 0.7322 0.8021 H
0.4208 0.7678 0.3021 H
0.7500 0.2827 0.8780 Cu
0.2500 0.5201 0.7248 Cu
0.7500 0.4799 0.2752 Cu
0.2500 0.7173 0.1220 Cu
0.7500 0.9799 0.2248 Cu
0.2500 0.0201 0.7752 Cu
0.7500 0.7827 0.6220 Cu
0.2500 0.2173 0.3780 Cu
```

Summary:
Magnetic moment, μB per formula unit: 0.98
DFT total energy, eV/atom: -6.71
Space-group type: Pnma (62)


No. 10
The following is a DFT calculation (meta-GGA SCAN) of a PBEsol-optimized structure of Li19Cu4H8O16.

```
Li19Cu4H8O16
1.0
5.3849 -0.0066 -0.0034
0.0083 7.3098 -0.0224
0.0864 0.0360 10.6392
O Li H Cu
16 19 8 4
Direct
0.2396 0.2493 0.8815 O
0.3495 0.9782 0.6839 O
0.7212 0.2492 0.1058 O
0.8455 0.5339 0.8280 O
0.2514 0.7491 0.3571 O
0.8028 0.7494 0.5981 O
0.1658 0.4572 0.1658 O
0.6703 0.4622 0.3317 O
0.7465 0.2493 0.6210 O
0.2281 0.2492 0.3930 O
0.7613 0.7493 0.1237 O
0.3496 0.5205 0.6839 O
0.6703 0.0361 0.3318 O
0.2651 0.7492 0.9043 O
0.1658 0.0413 0.1658 O
0.8454 0.9646 0.8280 O
0.7100 0.9916 0.6510 Li
0.5603 0.2492 0.4514 Li
0.2940 0.0024 0.3415 Li
0.9240 0.2492 0.2800 Li
0.5869 0.7492 0.2926 Li
0.4918 0.7493 0.7501 Li
0.0850 0.7493 0.2015 Li
0.0537 0.2494 0.0468 Li
0.7101 0.5070 0.6510 Li
0.0060 0.7493 0.7421 Li
0.2060 0.9971 0.8489 Li
0.2061 0.5015 0.8489 Li
0.9226 0.2493 0.7854 Li
0.4118 0.2494 0.7089 Li
0.7912 0.4948 0.1565 Li
0.7912 0.0037 0.1565 Li
0.4167 0.2492 0.2184 Li
0.9344 0.7492 0.9564 Li
0.2940 0.4960 0.3414 Li
0.2677 0.5424 0.6034 H
0.7639 0.5202 0.4004 H
0.7150 0.4963 0.8879 H
0.2674 0.9567 0.6034 H
0.2692 0.9842 0.0995 H
0.7636 0.9780 0.4005 H
0.2691 0.5145 0.0996 H
0.7149 0.0021 0.8879 H
0.0124 0.2492 0.5198 Cu
0.0247 0.7490 0.4776 Cu
0.5067 0.2491 0.9800 Cu
0.4960 0.7491 0.0214 Cu
```

Summary:
Magnetic moment, μB per formula unit: 0.44
DFT total energy, eV/atom: -6.56
Fermi-level density of states, states/eV/atom: 0.4147
Space-group type: Pm (6)


No. 11
The following is a DFT calculation (meta-GGA SCAN) of a PBEsol-optimized structure of MgCu3H.

```
MgCu3H
1.0
-1.6747 1.9900 2.7243
-3.1897 0.0567 -2.0023
-1.0989 -3.1974 1.6600
Cu H Mg
3 1 1
Direct
0.5000 0.0000 0.0000 Cu
0.0000 0.5000 0.0000 Cu
0.0000 0.0000 0.5000 Cu
0.0000 0.0000 0.0000 H
0.5000 0.5000 0.5000 Mg
```

Summary:
Magnetic moment, μB per formula unit: 0.00
DFT total energy, eV/atom: -10.76
Fermi-level density of states, states/eV/atom: 0.1969
Space-group type: Pm-3m (221)


No. 12
The following is a DFT calculation (meta-GGA SCAN) of a PBEsol-optimized structure of MgCu2H2.

```
MgCu2H2
1.0
-1.3858 2.6896 -1.4557
-2.0969 -1.9990 -1.6971
-0.9738 -0.0908 4.6314
H Cu Mg
2 2 1
Direct
0.7500 0.2500 0.5000 H
0.2500 0.7500 0.5000 H
0.3416 0.3416 0.6831 Cu
0.6584 0.6584 0.3169 Cu
0.0000 0.0000 0.0000 Mg
```

Summary:
Magnetic moment, μB per formula unit: 0.00
DFT total energy, eV/atom: -8.37
Fermi-level density of states, states/eV/atom: 0.0966
Space-group type: I4/mmm (139)